[1]
# PBE NaReS2, optimized geometry
# DOS(E_F)   0.245 states/eV per atom
# Uncorrected formation energy   -45.4 kJ/mol of atoms
data_NaReS2
_space_group_name_H-M_alt 'C 1 2/m 1'
_space_group_IT_number 12
_cell_length_a 12.300
_cell_length_b 3.272
_cell_length_c 7.258
_cell_angle_alpha 90.00
_cell_angle_beta 100.18
_cell_angle_gamma 90.00
loop_
_space_group_symop_operation_xyz
'x,y,z'
'-x,-y,-z'
'-x,y,-z'
'x,-y,z'
'x+1/2,y+1/2,z'
'-x+1/2,-y+1/2,-z'
'-x+1/2,y+1/2,-z'
'x+1/2,-y+1/2,z'
loop_
_atom_site_label
_atom_site_type_symbol
_atom_site_fract_x
_atom_site_fract_y
_atom_site_fract_z
Na1 Na 0.129 0.000 0.065
Re1 Re 0.110 0.500 0.512
S1 S 0.018 0.500 0.766
S2 S 0.236 0.000 0.675

=====

[2]
# PBE NaMgSn2, optimized geometry
# DOS(E_F)   0.568 states/eV per atom
# Energy of formation   -0.045 eV per atom
data_NaMgSn2
_space_group_name_H-M_alt 'R 3 m'
_space_group_IT_number 160
_space_group_name_Hall 'R 3 -2"'
_cell_length_a 4.9615
_cell_length_b 4.9615
_cell_length_c 16.0201
_cell_angle_alpha 90.00
_cell_angle_beta 90.00
_cell_angle_gamma 120.00
loop_
_atom_site_label
_atom_site_type_symbol
_atom_site_fract_x
_atom_site_fract_y
_atom_site_fract_z
Na1 Na 0.0000 0.0000 0.0000
Mg1 Mg 0.0000 0.0000 0.1995
Sn1 Sn 0.0000 0.0000 0.5757
Sn2 Sn 0.0000 0.0000 0.7814